Entry 1:
VASP calculation (PBE) on a geometry-optimized KSr2US6 structure.

Geometry as CIF:
```
data_KSr2US6
_cell_length_a 7.212
_cell_length_b 7.835
_cell_length_c 11.880
_cell_angle_alpha 90.00
_cell_angle_beta 122.57
_cell_angle_gamma 90.00
_space_group_name_H-M_alt 'P 1'
_space_group_IT_number 1
loop_
_space_group_symop_operation_xyz
'x,y,z'
loop_
_atom_site_label
_atom_site_type_symbol
_atom_site_fract_x
_atom_site_fract_y
_atom_site_fract_z
K1 K 0.000 0.000 0.000
K2 K 0.000 0.500 0.500
Sr1 Sr 0.192 0.085 0.728
Sr2 Sr 0.192 0.415 0.228
Sr3 Sr 0.808 0.585 0.772
Sr4 Sr 0.808 0.915 0.272
U1 U 0.500 0.000 0.500
U2 U 0.500 0.500 0.000
S1 S 0.160 0.171 0.444
S2 S 0.160 0.329 0.944
S3 S 0.254 0.733 0.400
S4 S 0.254 0.767 0.900
S5 S 0.439 0.083 0.277
S6 S 0.439 0.417 0.777
S7 S 0.561 0.583 0.223
S8 S 0.561 0.917 0.723
S9 S 0.746 0.233 0.100
S10 S 0.746 0.267 0.600
S11 S 0.840 0.671 0.056
S12 S 0.840 0.829 0.556
```

***

Entry 2:
VASP calculation (PBE) on a geometry-optimized RbHo2CuS4 structure.

Geometry as CIF:
```
data_RbHo2CuS4
_cell_length_a 7.151
_cell_length_b 7.151
_cell_length_c 13.750
_cell_angle_alpha 90.00
_cell_angle_beta 90.00
_cell_angle_gamma 147.79
_space_group_name_H-M_alt 'P 1'
_space_group_IT_number 1
loop_
_space_group_symop_operation_xyz
'x,y,z'
loop_
_atom_site_label
_atom_site_type_symbol
_atom_site_fract_x
_atom_site_fract_y
_atom_site_fract_z
Rb1 Rb 0.108 0.892 0.750
Rb2 Rb 0.892 0.108 0.250
Ho1 Ho 0.366 0.634 0.562
Ho2 Ho 0.366 0.634 0.938
Ho3 Ho 0.634 0.366 0.062
Ho4 Ho 0.634 0.366 0.438
Cu1 Cu 0.165 0.835 0.250
Cu2 Cu 0.835 0.165 0.750
S1 S 0.000 0.000 0.000
S2 S 0.000 0.000 0.500
S3 S 0.259 0.741 0.108
S4 S 0.259 0.741 0.392
S5 S 0.425 0.575 0.750
S6 S 0.575 0.425 0.250
S7 S 0.741 0.259 0.608
S8 S 0.741 0.259 0.892
```

***

Entry 3:
# PBE NaZrF2, optimized geometry
data_NaZrF2
_cell_length_a 3.370
_cell_length_b 3.370
_cell_length_c 20.054
_cell_angle_alpha 90.00
_cell_angle_beta 90.00
_cell_angle_gamma 120.00
_space_group_name_H-M_alt 'P 1'
_space_group_IT_number 1
loop_
_space_group_symop_operation_xyz
'x,y,z'
loop_
_atom_site_label
_atom_site_type_symbol
_atom_site_fract_x
_atom_site_fract_y
_atom_site_fract_z
Na1 Na 0.000 0.000 0.000
Na2 Na 0.333 0.667 0.667
Na3 Na 0.667 0.333 0.333
Zr1 Zr 0.000 0.000 0.500
Zr2 Zr 0.333 0.667 0.167
Zr3 Zr 0.667 0.333 0.833
F1 F 0.000 0.000 0.395
F2 F 0.000 0.000 0.605
F3 F 0.333 0.667 0.062
F4 F 0.333 0.667 0.271
F5 F 0.667 0.333 0.729
F6 F 0.667 0.333 0.938
# ΔE to the lowest computed polymorph, kJ per mole of atoms: 0.0

***

| no. | formation energy without anion corrections (meV per atom) | uncorrected energy (eV/atom) |
| --- | --- | --- |
| 1 | -1436 | -5.487 |
| 2 | -1650 | -5.491 |
| 3 | -2321 | -5.724 |